! GGA-PBE CdInB, optimized geometry; values from VASP
! - Size of the total moment: 0.000 Bohr magnetons per cell
! - Calculated density: 6.65 g cm⁻³
! - ΔE_f: 480 meV/atom
&SYSTEM
  ibrav = 0, nat = 6, ntyp = 3
/
ATOMIC_SPECIES
Cd 112.41 Cd.upf
In 114.82 In.upf
B 10.81 B.upf
ATOMIC_POSITIONS crystal
Cd 0.085 0.051 0.272
Cd 0.915 0.949 0.728
In 0.446 0.413 0.728
In 0.554 0.587 0.272
B 0.482 0.847 0.989
B 0.518 0.153 0.011
CELL_PARAMETERS angstrom
3.906 0.000 0.000
-0.074 5.293 0.000
-1.511 -2.023 5.751

! GGA-PBE NpS2Br2Cl2, optimized geometry; values from VASP
! - Size of the total moment: 10.000 Bohr magnetons per cell
! - Calculated density: 3.19 g cm⁻³
! - Uncorrected energy: -68.35 eV for the cell shown
&SYSTEM
  ibrav = 0, nat = 14, ntyp = 4
/
ATOMIC_SPECIES
Np 237.00 Np.upf
S 32.06 S.upf
Br 79.90 Br.upf
Cl 35.45 Cl.upf
ATOMIC_POSITIONS crystal
Np 0.000 0.000 0.000
Np 0.500 0.500 0.000
S 0.078 0.000 0.557
S 0.422 0.500 0.443
S 0.578 0.500 0.557
S 0.922 0.000 0.443
Br 0.093 0.500 0.916
Br 0.407 0.000 0.084
Br 0.593 0.000 0.916
Br 0.907 0.500 0.084
Cl 0.167 0.000 0.251
Cl 0.333 0.500 0.749
Cl 0.667 0.500 0.251
Cl 0.833 0.000 0.749
CELL_PARAMETERS angstrom
14.109 0.000 0.000
0.000 4.263 0.000
-5.466 0.000 9.193

! GGA-PBE Th4Pt3Au, optimized geometry; values from VASP
! - Size of the total moment: 0.000 Bohr magnetons per cell
! - Calculated density: 13.30 g cm⁻³
! - ΔE_f: -1006 meV/atom
&SYSTEM
  ibrav = 0, nat = 16, ntyp = 3
/
ATOMIC_SPECIES
Th 232.04 Th.upf
Pt 195.08 Pt.upf
Au 196.97 Au.upf
ATOMIC_POSITIONS crystal
Th 0.000 0.238 0.000
Th 0.000 0.762 0.000
Th 0.245 0.000 0.507
Th 0.255 0.500 0.493
Th 0.500 0.262 0.000
Th 0.500 0.738 0.000
Th 0.745 0.500 0.507
Th 0.755 0.000 0.493
Pt 0.000 0.000 0.500
Pt 0.250 0.250 0.000
Pt 0.250 0.750 0.000
Pt 0.500 0.500 0.500
Pt 0.750 0.250 0.000
Pt 0.750 0.750 0.000
Au 0.000 0.500 0.500
Au 0.500 0.000 0.500
CELL_PARAMETERS angstrom
11.987 0.000 0.000
0.000 8.785 0.000
-0.452 0.000 4.055

! GGA-PBE NaAcGe2, optimized geometry; values from VASP
! - Size of the total moment: 0.000 Bohr magnetons per cell
! - Calculated density: 6.23 g cm⁻³
! - ΔE_f: -498 meV/atom
&SYSTEM
  ibrav = 0, nat = 16, ntyp = 3
/
ATOMIC_SPECIES
Na 22.99 Na.upf
Ac 227.00 Ac.upf
Ge 72.64 Ge.upf
ATOMIC_POSITIONS crystal
Na 0.012 0.250 0.102
Na 0.488 0.750 0.602
Na 0.512 0.250 0.398
Na 0.988 0.750 0.898
Ac 0.129 0.750 0.362
Ac 0.371 0.250 0.862
Ac 0.629 0.750 0.138
Ac 0.871 0.250 0.638
Ge 0.159 0.750 0.685
Ge 0.244 0.250 0.567
Ge 0.256 0.750 0.067
Ge 0.341 0.250 0.185
Ge 0.659 0.750 0.815
Ge 0.744 0.250 0.933
Ge 0.756 0.750 0.433
Ge 0.841 0.250 0.315
CELL_PARAMETERS angstrom
8.881 0.000 0.000
0.000 4.153 0.000
0.000 0.000 11.427

! GGA-PBE MnBe2Te, optimized geometry; values from VASP
! - Size of the total moment: 6.138 Bohr magnetons per cell
! - Calculated density: 5.31 g cm⁻³
! - Uncorrected energy: -37.29 eV for the cell shown
&SYSTEM
  ibrav = 0, nat = 8, ntyp = 3
/
ATOMIC_SPECIES
Mn 54.94 Mn.upf
Be 9.01 Be.upf
Te 127.60 Te.upf
ATOMIC_POSITIONS crystal
Mn 0.000 0.000 0.000
Mn 0.500 0.500 0.000
Be 0.000 0.302 0.000
Be 0.000 0.698 0.000
Be 0.500 0.198 0.000
Be 0.500 0.802 0.000
Te 0.000 0.500 0.500
Te 0.500 0.000 0.500
CELL_PARAMETERS angstrom
3.842 0.000 0.000
0.000 8.073 0.000
0.000 0.000 4.045

! GGA-PBE Zn2SnPb, optimized geometry; values from VASP
! - Size of the total moment: 0.000 Bohr magnetons per cell
! - Calculated density: 8.18 g cm⁻³
! - ΔE_f: 174 meV/atom
&SYSTEM
  ibrav = 0, nat = 4, ntyp = 3
/
ATOMIC_SPECIES
Zn 65.41 Zn.upf
Sn 118.71 Sn.upf
Pb 207.20 Pb.upf
ATOMIC_POSITIONS crystal
Zn 0.000 0.500 0.000
Zn 0.500 0.000 0.000
Sn 0.000 0.000 0.500
Pb 0.500 0.500 0.500
CELL_PARAMETERS angstrom
4.700 0.000 0.000
0.000 4.700 0.000
0.000 0.000 4.194

Q: Which D(E_F) values were calculated for the entries above? A: 0.843, 9.157, 5.919, 1.829, 1.789, 1.723, in states/eV/f.u..